[1]
# BaLa2HgSe

A relaxed BaLa2HgSe crystal (PBE, Alexandria).

Cell lengths 5.699, 5.699, 6.156 Å; angles 90.00, 90.00, 90.00 degrees
Atoms (fractional coordinates):
Ba  0.000  0.000  0.000
La  0.000  0.500  0.500
La  0.500  0.000  0.500
Hg  0.500  0.500  0.000
Se  0.000  0.000  0.500

Space-group type: P4/mmm
Energy relative to the elements, uncorrected, eV/atom: -0.6039

[2]
# BaLaSm2Hg4

A relaxed BaLaSm2Hg4 crystal (PBE, Alexandria).

Cell lengths 9.673, 9.673, 9.673 Å; angles 33.24, 33.24, 33.24 degrees
Atoms (fractional coordinates):
Ba  0.000  0.000  0.000
La  0.500  0.500  0.500
Sm  0.249  0.249  0.249
Sm  0.751  0.751  0.751
Hg  0.129  0.129  0.129
Hg  0.381  0.381  0.381
Hg  0.619  0.619  0.619
Hg  0.871  0.871  0.871

Space-group type: R-3m
Formation enthalpy at 0 K, kJ/mol of atoms: -42

[3]
# BaSr2LaHg4

A relaxed BaSr2LaHg4 crystal (PBE, Alexandria).

Cell lengths 9.920, 9.920, 9.920 Å; angles 33.22, 33.22, 33.22 degrees
Atoms (fractional coordinates):
Ba  0.000  0.000  0.000
Sr  0.250  0.250  0.250
Sr  0.750  0.750  0.750
La  0.500  0.500  0.500
Hg  0.129  0.129  0.129
Hg  0.381  0.381  0.381
Hg  0.619  0.619  0.619
Hg  0.871  0.871  0.871

Space-group type: R-3m
Formation enthalpy at 0 K, kJ/mol of atoms: -50

[4]
# BaLaTaHg2

A relaxed BaLaTaHg2 crystal (PBE, Alexandria).

Cell lengths 5.608, 5.608, 5.275 Å; angles 90.00, 90.00, 90.00 degrees
Atoms (fractional coordinates):
Ba  0.000  0.000  0.000
La  0.500  0.500  0.000
Ta  0.500  0.500  0.500
Hg  0.000  0.500  0.500
Hg  0.500  0.000  0.500

Space-group type: P4/mmm
Formation enthalpy at 0 K, kJ/mol of atoms: 24

[5]
# BaLaHgTe3

A relaxed BaLaHgTe3 crystal (PBE, Alexandria).

Cell lengths 9.018, 4.609, 11.108 Å; angles 90.00, 104.98, 90.00 degrees
Atoms (fractional coordinates):
Ba  0.239  0.250  0.289
Ba  0.761  0.750  0.711
La  0.321  0.750  0.832
La  0.679  0.250  0.168
Hg  0.103  0.250  0.562
Hg  0.897  0.750  0.438
Te  0.069  0.250  0.826
Te  0.344  0.750  0.546
Te  0.419  0.750  0.134
Te  0.581  0.250  0.866
Te  0.656  0.250  0.454
Te  0.931  0.750  0.174

Space-group type: P2_1/m
Energy relative to the elements, uncorrected, eV/atom: -1.2335

[6]
# BaLaTi2Hg

A relaxed BaLaTi2Hg crystal (PBE, Alexandria).

Cell lengths 5.144, 5.144, 5.935 Å; angles 90.00, 90.00, 90.00 degrees
Atoms (fractional coordinates):
Ba  0.000  0.000  0.000
La  0.500  0.500  0.500
Ti  0.000  0.500  0.000
Ti  0.500  0.000  0.000
Hg  0.000  0.000  0.500

Space-group type: P4/mmm
Formation enthalpy at 0 K, kJ/mol of atoms: 114

[7]
# BaLaTlHg

A relaxed BaLaTlHg crystal (PBE, Alexandria).

Cell lengths 4.045, 4.045, 8.395 Å; angles 90.00, 90.00, 90.00 degrees
Atoms (fractional coordinates):
Ba  0.000  0.000  0.000
La  0.000  0.000  0.514
Tl  0.500  0.500  0.284
Hg  0.500  0.500  0.725

Space-group type: P4mm
ΔE to the lowest computed polymorph, meV per atom: 0
Formation enthalpy at 0 K, kJ/mol of atoms: -44

[8]
# BaLaTlHg

A relaxed BaLaTlHg crystal (PBE, Alexandria).

Cell lengths 5.792, 5.792, 5.792 Å; angles 60.00, 60.00, 60.00 degrees
Atoms (fractional coordinates):
Ba  0.000  0.000  0.000
La  0.500  0.500  0.500
Tl  0.750  0.750  0.750
Hg  0.250  0.250  0.250

Space-group type: F-43m
ΔE to the lowest computed polymorph, meV per atom: 63
Formation enthalpy at 0 K, kJ/mol of atoms: -38

[9]
# BaLaZnHg

A relaxed BaLaZnHg crystal (PBE, Alexandria).

Cell lengths 5.647, 5.647, 5.647 Å; angles 60.00, 60.00, 60.00 degrees
Atoms (fractional coordinates):
Ba  0.000  0.000  0.000
La  0.500  0.500  0.500
Zn  0.250  0.250  0.250
Hg  0.750  0.750  0.750

Space-group type: F-43m
Formation enthalpy at 0 K, kJ/mol of atoms: -29

[10]
# BaLi3Hg9

A relaxed BaLi3Hg9 crystal (PBE, Alexandria).

Cell lengths 8.201, 8.201, 7.379 Å; angles 96.53, 96.53, 138.32 degrees
Atoms (fractional coordinates):
Ba  0.000  0.000  0.000
Li  0.000  0.500  0.000
Li  0.500  0.000  0.000
Li  0.500  0.500  0.500
Hg  0.000  0.000  0.500
Hg  0.043  0.681  0.673
Hg  0.307  0.531  0.781
Hg  0.319  0.957  0.327
Hg  0.469  0.693  0.219
Hg  0.531  0.307  0.781
Hg  0.681  0.043  0.673
Hg  0.693  0.469  0.219
Hg  0.957  0.319  0.327

Space-group type: C2/m
Formation enthalpy at 0 K, kJ/mol of atoms: -28

[11]
# Ba3Li3Hg2

A relaxed Ba3Li3Hg2 crystal (PBE, Alexandria).

Cell lengths 6.707, 6.707, 18.028 Å; angles 90.00, 90.00, 136.86 degrees
Atoms (fractional coordinates):
Ba  0.073  0.927  0.605
Ba  0.073  0.927  0.895
Ba  0.366  0.634  0.750
Ba  0.634  0.366  0.250
Ba  0.927  0.073  0.105
Ba  0.927  0.073  0.395
Li  0.330  0.670  0.250
Li  0.337  0.663  0.534
Li  0.337  0.663  0.966
Li  0.663  0.337  0.034
Li  0.663  0.337  0.466
Li  0.670  0.330  0.750
Hg  0.215  0.785  0.107
Hg  0.215  0.785  0.393
Hg  0.785  0.215  0.607
Hg  0.785  0.215  0.893

Space-group type: Cmcm
Formation enthalpy at 0 K, kJ/mol of atoms: -25

[12]
# Ba2LiHg6

A relaxed Ba2LiHg6 crystal (PBE, Alexandria).

Cell lengths 7.122, 7.122, 6.005 Å; angles 90.86, 90.86, 59.98 degrees
Atoms (fractional coordinates):
Ba  0.171  0.171  0.315
Ba  0.829  0.829  0.685
Li  0.500  0.500  0.500
Hg  0.149  0.681  0.197
Hg  0.319  0.851  0.803
Hg  0.333  0.333  0.808
Hg  0.667  0.667  0.192
Hg  0.681  0.149  0.197
Hg  0.851  0.319  0.803

Space-group type: C2/m
Formation enthalpy at 0 K, kJ/mol of atoms: -40

[13]
# Ba2Li5Hg4

A relaxed Ba2Li5Hg4 crystal (PBE, Alexandria).

Cell lengths 10.124, 9.163, 6.196 Å; angles 79.93, 63.02, 37.05 degrees
Atoms (fractional coordinates):
Ba  0.145  0.145  0.855
Ba  0.855  0.855  0.145
Li  0.000  0.000  0.500
Li  0.250  0.250  0.250
Li  0.500  0.500  0.000
Li  0.500  0.500  0.500
Li  0.750  0.750  0.750
Hg  0.211  0.532  0.468
Hg  0.468  0.789  0.211
Hg  0.532  0.211  0.789
Hg  0.789  0.468  0.532

Space-group type: Fmmm
Formation enthalpy at 0 K, kJ/mol of atoms: -33

[14]
# Ba3LiHg3

A relaxed Ba3LiHg3 crystal (PBE, Alexandria).

Cell lengths 6.698, 6.698, 18.017 Å; angles 107.91, 107.91, 41.55 degrees
Atoms (fractional coordinates):
Ba  0.026  0.026  0.392
Ba  0.099  0.099  0.920
Ba  0.242  0.242  0.235
Ba  0.758  0.758  0.765
Ba  0.901  0.901  0.080
Ba  0.974  0.974  0.608
Li  0.265  0.265  0.592
Li  0.735  0.735  0.408
Hg  0.348  0.348  0.451
Hg  0.386  0.386  0.921
Hg  0.462  0.462  0.755
Hg  0.538  0.538  0.245
Hg  0.614  0.614  0.079
Hg  0.652  0.652  0.549

Space-group type: C2/m
Formation enthalpy at 0 K, kJ/mol of atoms: -41

[15]
# BaLi5Hg2

A relaxed BaLi5Hg2 crystal (PBE, Alexandria).

Cell lengths 7.193, 7.193, 7.193 Å; angles 143.80, 107.99, 83.34 degrees
Atoms (fractional coordinates):
Ba  0.000  0.000  0.000
Li  0.157  0.338  0.819
Li  0.481  0.662  0.819
Li  0.500  0.000  0.500
Li  0.519  0.338  0.181
Li  0.843  0.662  0.181
Hg  0.249  0.749  0.500
Hg  0.751  0.251  0.500

Space-group type: Immm
Formation enthalpy at 0 K, kJ/mol of atoms: -23

[16]
# Ba2LiHg3

A relaxed Ba2LiHg3 crystal (PBE, Alexandria).

Cell lengths 10.226, 9.847, 6.732 Å; angles 73.47, 67.39, 39.13 degrees
Atoms (fractional coordinates):
Ba  0.243  0.757  0.757
Ba  0.250  0.250  0.250
Ba  0.750  0.750  0.750
Ba  0.757  0.243  0.243
Li  0.334  0.334  0.666
Li  0.666  0.666  0.334
Hg  0.175  0.175  0.825
Hg  0.176  0.649  0.351
Hg  0.351  0.824  0.176
Hg  0.649  0.176  0.824
Hg  0.824  0.351  0.649
Hg  0.825  0.825  0.175

Space-group type: Fmmm
ΔE to the lowest computed polymorph, meV per atom: 0
Formation enthalpy at 0 K, kJ/mol of atoms: -42

[17]
# BaLiHg

A relaxed BaLiHg crystal (PBE, Alexandria).

Cell lengths 5.027, 5.027, 4.507 Å; angles 90.00, 90.00, 120.00 degrees
Atoms (fractional coordinates):
Ba  0.000  0.000  0.000
Li  0.333  0.667  0.500
Hg  0.667  0.333  0.500

Space-group type: P-6m2
ΔE to the lowest computed polymorph, meV per atom: 10
Formation enthalpy at 0 K, kJ/mol of atoms: -32

[18]
# Ba3Li2Hg5

A relaxed Ba3Li2Hg5 crystal (PBE, Alexandria).

Cell lengths 11.966, 11.966, 4.180 Å; angles 90.00, 90.00, 90.00 degrees
Atoms (fractional coordinates):
Ba  0.000  0.000  0.000
Ba  0.181  0.319  0.000
Ba  0.319  0.819  0.000
Ba  0.500  0.500  0.000
Ba  0.681  0.181  0.000
Ba  0.819  0.681  0.000
Li  0.110  0.610  0.000
Li  0.390  0.110  0.000
Li  0.610  0.890  0.000
Li  0.890  0.390  0.000
Hg  0.000  0.500  0.500
Hg  0.061  0.769  0.500
Hg  0.231  0.061  0.500
Hg  0.269  0.561  0.500
Hg  0.439  0.269  0.500
Hg  0.500  0.000  0.500
Hg  0.561  0.731  0.500
Hg  0.731  0.439  0.500
Hg  0.769  0.939  0.500
Hg  0.939  0.231  0.500

Space-group type: P4/mbm
Formation enthalpy at 0 K, kJ/mol of atoms: -43

[19]
# Ba5LiHg4

A relaxed Ba5LiHg4 crystal (PBE, Alexandria).

Cell lengths 4.224, 4.224, 21.455 Å; angles 90.00, 90.00, 90.00 degrees
Atoms (fractional coordinates):
Ba  0.000  0.000  0.000
Ba  0.000  0.000  0.196
Ba  0.000  0.000  0.389
Ba  0.000  0.000  0.611
Ba  0.000  0.000  0.804
Li  0.500  0.500  0.500
Hg  0.500  0.500  0.098
Hg  0.500  0.500  0.298
Hg  0.500  0.500  0.702
Hg  0.500  0.500  0.902

Space-group type: P4/mmm
Formation enthalpy at 0 K, kJ/mol of atoms: -40

[20]
# BaLi4Hg2

A relaxed BaLi4Hg2 crystal (PBE, Alexandria).

Cell lengths 8.784, 8.784, 4.496 Å; angles 90.00, 90.00, 90.00 degrees
Atoms (fractional coordinates):
Ba  0.000  0.000  0.000
Ba  0.500  0.500  0.500
Li  0.089  0.351  0.500
Li  0.149  0.589  0.000
Li  0.351  0.089  0.500
Li  0.411  0.851  0.000
Li  0.589  0.149  0.000
Li  0.649  0.911  0.500
Li  0.851  0.411  0.000
Li  0.911  0.649  0.500
Hg  0.220  0.780  0.500
Hg  0.280  0.280  0.000
Hg  0.720  0.720  0.000
Hg  0.780  0.220  0.500

Space-group type: P4_2/mnm
Formation enthalpy at 0 K, kJ/mol of atoms: -28

Sequential magnetic moment output: 0.00; 0.04; 0.00; 0.00; 0.00; 1.07; 0.14; 0.00; 0.00; 0.00; 0.00; 0.00; 0.00; 0.00; 0.00; 0.00; 0.00; 0.00; 0.00; 0.00 Bohr magnetons per cell